1.
# GGA-PBE LiTcAg2, optimized geometry
data_LiTcAg2
_chemical_formula_sum 'Li2 Tc2 Ag4'
_symmetry_space_group_name_H-M 'C m m 2'
_symmetry_Int_Tables_number 35
_cell_length_a 3.012
_cell_length_b 4.482
_cell_length_c 9.551
_cell_angle_alpha 90.00
_cell_angle_beta 90.00
_cell_angle_gamma 90.00
loop_
_symmetry_equiv_pos_as_xyz
'x,y,z'
'-x,-y,z'
'-x,y,z'
'x,-y,z'
'x+1/2,y+1/2,z'
'-x+1/2,-y+1/2,z'
'-x+1/2,y+1/2,z'
'x+1/2,-y+1/2,z'
loop_
_atom_site_label
_atom_site_fract_x
_atom_site_fract_y
_atom_site_fract_z
_atom_site_occupancy
Li1 0.000 0.000 0.000 1
Tc1 0.000 0.500 0.237 1
Ag1 0.000 0.000 0.492 1
Ag2 0.000 0.500 0.757 1
# N(E_F): 5.84 states/eV/cell
# ΔE to the lowest computed polymorph: 21 meV/atom
# energy of formation from the pure elements: 0.2584 eV/atom

***

2.
# GGA-PBE LaMgPdAu, optimized geometry
data_LaMgPdAu
_chemical_formula_sum 'La3 Mg3 Pd3 Au3'
_symmetry_space_group_name_H-M 'R 3 m'
_symmetry_Int_Tables_number 160
_symmetry_space_group_name_Hall 'R 3 -2"'
_cell_length_a 4.6746
_cell_length_b 4.6746
_cell_length_c 14.4682
_cell_angle_alpha 90.00
_cell_angle_beta 90.00
_cell_angle_gamma 120.00
loop_
_atom_site_label
_atom_site_fract_x
_atom_site_fract_y
_atom_site_fract_z
_atom_site_occupancy
La1 0.0000 0.0000 0.0000 1
Mg1 0.0000 0.0000 0.5044 1
Pd1 0.0000 0.0000 0.2150 1
Au1 0.0000 0.0000 0.7840 1
# N(E_F): 6.57 states/eV/cell
# energy of formation from the pure elements: -0.7680 eV/atom

***

3.
# GGA-PBE BaLi4Nd, optimized geometry
data_BaLi4Nd
_chemical_formula_sum 'Ba4 Li16 Nd4'
_symmetry_space_group_name_H-M 'F -4 3 m'
_symmetry_Int_Tables_number 216
_symmetry_space_group_name_Hall 'F -4 2 3'
_cell_length_a 8.876
_cell_length_b 8.876
_cell_length_c 8.876
_cell_angle_alpha 90.00
_cell_angle_beta 90.00
_cell_angle_gamma 90.00
loop_
_atom_site_label
_atom_site_fract_x
_atom_site_fract_y
_atom_site_fract_z
_atom_site_occupancy
Ba1 0.000 0.000 0.000 1
Li1 0.123 0.123 0.623 1
Nd1 0.250 0.250 0.250 1
# N(E_F): 28.24 states/eV/cell
# energy of formation from the pure elements: 0.1235 eV/atom

***

4.
# GGA-PBE SrCuTc2, optimized geometry
data_SrCuTc2
_chemical_formula_sum 'Sr1 Cu1 Tc2'
_symmetry_space_group_name_H-M 'P 4/m m m'
_symmetry_Int_Tables_number 123
_symmetry_space_group_name_Hall '-P 4 2'
_cell_length_a 2.731
_cell_length_b 2.731
_cell_length_c 9.173
_cell_angle_alpha 90.00
_cell_angle_beta 90.00
_cell_angle_gamma 90.00
loop_
_atom_site_label
_atom_site_fract_x
_atom_site_fract_y
_atom_site_fract_z
_atom_site_occupancy
Sr1 0.000 0.000 0.000 1
Cu1 0.000 0.000 0.500 1
Tc1 0.500 0.500 0.294 1
# N(E_F): 3.97 states/eV/cell
# ΔE to the lowest computed polymorph: 501 meV/atom
# energy of formation from the pure elements: 0.7990 eV/atom

***

5.
# GGA-PBE AcLaAg2Sn2, optimized geometry
data_AcLaAg2Sn2
_chemical_formula_sum 'Ac1 La1 Ag2 Sn2'
_symmetry_space_group_name_H-M 'P -3 m 1'
_symmetry_Int_Tables_number 164
_symmetry_space_group_name_Hall '-P 3 2"'
_cell_length_a 4.8538
_cell_length_b 4.8538
_cell_length_c 8.3360
_cell_angle_alpha 90.00
_cell_angle_beta 90.00
_cell_angle_gamma 120.00
loop_
_atom_site_label
_atom_site_fract_x
_atom_site_fract_y
_atom_site_fract_z
_atom_site_occupancy
Ac1 0.0000 0.0000 0.0000 1
La1 0.0000 0.0000 0.5000 1
Ag1 0.3333 0.6667 0.7341 1
Sn1 0.3333 0.6667 0.2628 1
# N(E_F): 0.84 states/eV/cell
# energy of formation from the pure elements: -0.6202 eV/atom

***

6.
# GGA-PBE CuAg3Ru, optimized geometry
data_CuAg3Ru
_chemical_formula_sum 'Cu1 Ag3 Ru1'
_symmetry_space_group_name_H-M 'P m -3 m'
_symmetry_Int_Tables_number 221
_symmetry_space_group_name_Hall '-P 4 2 3'
_cell_length_a 4.691
_cell_length_b 4.691
_cell_length_c 4.691
_cell_angle_alpha 90.00
_cell_angle_beta 90.00
_cell_angle_gamma 90.00
loop_
_atom_site_label
_atom_site_fract_x
_atom_site_fract_y
_atom_site_fract_z
_atom_site_occupancy
Cu1 0.000 0.000 0.000 1
Ag1 0.000 0.000 0.500 1
Ru1 0.500 0.500 0.500 1
# N(E_F): 6.38 states/eV/cell
# ΔE to the lowest computed polymorph: 0 meV/atom
# energy of formation from the pure elements: 1.2103 eV/atom

***

Question: What is the N(E_F) in the fifth record?
Answer: 0.84 states/eV/cell